Crystalline Ti2PdPb at its relaxed geometry, computed with PBE-GGA.

Computed properties:
- DOS(E_F): 0.81 states/eV per atom
- Space group: R3m
- Final energy: -6.143 eV per atom
- DFT formation energy: 3 kJ/mol of atoms

a = 3.9621 Å, b = 3.9621 Å, c = 6.5647 Å
α = 72.44°, β = 72.44°, γ = 60.00°
Positions (direct):
Ti  0.2706  0.2706  0.1881
Ti  0.0678  0.0678  0.7966
Pd  0.6625  0.6625  0.0125
Pb  0.4991  0.4991  0.5028

Crystalline Ac5Hg4Au at its relaxed geometry, computed with PBE-GGA.

Computed properties:
- DOS(E_F): 0.95 states/eV per atom
- Space group: P4/mmm
- Final energy: -3.041 eV per atom
- DFT formation energy: -52 kJ/mol of atoms

a = 4.0107 Å, b = 4.0107 Å, c = 20.1827 Å
α = 90.00°, β = 90.00°, γ = 90.00°
Positions (direct):
Hg  0.0000  0.0000  0.3986
Hg  0.0000  0.0000  0.6014
Ac  0.5000  0.5000  0.2967
Ac  0.5000  0.5000  0.5000
Ac  0.5000  0.5000  0.0923
Hg  0.0000  0.0000  0.8023
Hg  0.0000  0.0000  0.1977
Ac  0.5000  0.5000  0.9077
Ac  0.5000  0.5000  0.7033
Au  0.0000  0.0000  0.0000

Crystalline SbRhN2F at its relaxed geometry, computed with PBE-GGA.

Computed properties:
- DOS(E_F): 0.82 states/eV per atom
- Formation energy without anion corrections: 0.588 eV/atom
- Space group: P4/mmm
- E above lowest polymorph: 0 meV per atom
- Final energy: -5.411 eV per atom

a = 4.0040 Å, b = 4.0040 Å, c = 4.0644 Å
α = 90.00°, β = 90.00°, γ = 90.00°
Positions (direct):
Sb  0.5000  0.5000  0.5000
N  0.0000  0.5000  0.0000
F  0.0000  0.0000  0.5000
N  0.5000  0.0000  0.0000
Rh  0.0000  0.0000  0.0000

Crystalline HoZr2Mn9 at its relaxed geometry, computed with PBE-GGA.

Computed properties:
- DOS(E_F): 1.04 states/eV per atom
- Space group: R-3m
- Final energy: -8.765 eV per atom
- DFT formation energy: -8 kJ/mol of atoms

a = 5.0840 Å, b = 5.0840 Å, c = 8.3580 Å
α = 72.29°, β = 72.29°, γ = 60.00°
Site moments in Bohr magnetons follow the coordinates.
Positions (direct):
Ho  0.0000  0.0000  0.0000  0.18
Mn  0.5000  0.5000  0.5000  0.90
Zr  0.8570  0.8570  0.4289  0.27
Mn  0.5854  0.0827  0.7466  -1.72
Mn  0.4146  0.4146  0.2534  -1.72
Mn  0.6671  0.6671  0.9987  2.26
Mn  0.0827  0.5854  0.7466  -1.72
Mn  0.3329  0.3329  0.0013  2.26
Zr  0.1430  0.1430  0.5711  0.27
Mn  0.4146  0.9173  0.2534  -1.72
Mn  0.5854  0.5854  0.7466  -1.72
Mn  0.9173  0.4146  0.2534  -1.72

Crystalline MgTe2Pt at its relaxed geometry, computed with PBE-GGA.

Computed properties:
- DOS(E_F): 0.49 states/eV per atom
- Formation energy without anion corrections: -0.325 eV/atom
- Space group: I-42d
- Final energy: -3.805 eV per atom

a = 6.2283 Å, b = 6.2283 Å, c = 7.7983 Å
α = 66.46°, β = 66.46°, γ = 90.00°
Positions (direct):
Te  0.0940  0.6250  0.2500
Te  0.6560  0.1250  0.2500
Pt  0.7500  0.2500  0.5000
Mg  0.2500  0.7500  0.5000
Pt  0.0000  0.0000  0.0000
Te  0.8750  0.9060  0.7500
Te  0.3750  0.3440  0.7500
Mg  0.5000  0.5000  0.0000

Crystalline NaScNi4 at its relaxed geometry, computed with PBE-GGA.

Computed properties:
- DOS(E_F): 1.02 states/eV per atom
- Space group: F-43m
- Final energy: -5.288 eV per atom
- DFT formation energy: -15 kJ/mol of atoms

a = 4.8890 Å, b = 4.8890 Å, c = 4.8890 Å
α = 60.00°, β = 60.00°, γ = 60.00°
Positions (direct):
Ni  0.6248  0.1257  0.6248
Na  0.0000  0.0000  0.0000
Sc  0.2500  0.2500  0.2500
Ni  0.1257  0.6248  0.6248
Ni  0.6248  0.6248  0.6248
Ni  0.6248  0.6248  0.1257

Crystalline Zr3TaGa at its relaxed geometry, computed with PBE-GGA.

Computed properties:
- DOS(E_F): 1.45 states/eV per atom
- Space group: Pm-3m
- E above lowest polymorph: 132 meV per atom
- Final energy: -7.165 eV per atom
- DFT formation energy: 91 kJ/mol of atoms

a = 5.1130 Å, b = 5.1130 Å, c = 5.1130 Å
α = 90.00°, β = 90.00°, γ = 90.00°
Positions (direct):
Zr  0.0000  0.5000  0.0000
Zr  0.5000  0.0000  0.0000
Zr  0.0000  0.0000  0.5000
Ga  0.5000  0.5000  0.5000
Ta  0.0000  0.0000  0.0000

Crystalline PuMgSnBi at its relaxed geometry, computed with PBE-GGA.

Computed properties:
- DOS(E_F): 3.22 states/eV per atom
- Space group: F-43m
- E above lowest polymorph: 147 meV per atom
- Final energy: -6.116 eV per atom
- DFT formation energy: -16 kJ/mol of atoms

a = 5.3442 Å, b = 5.3442 Å, c = 5.3442 Å
α = 60.00°, β = 60.00°, γ = 60.00°
Site moments in Bohr magnetons follow the coordinates.
Positions (direct):
Mg  0.7500  0.7500  0.7500  0.00
Bi  0.5000  0.5000  0.5000  0.04
Sn  0.0000  0.0000  0.0000  0.02
Pu  0.2500  0.2500  0.2500  5.52

Crystalline CaH2Pd at its relaxed geometry, computed with PBE-GGA.

Computed properties:
- DOS(E_F): 0.00 states/eV per atom
- Space group: I-42d
- E above lowest polymorph: 123 meV per atom
- Final energy: -3.929 eV per atom

a = 4.7310 Å, b = 4.7310 Å, c = 5.6459 Å
α = 65.23°, β = 65.23°, γ = 90.00°
Positions (direct):
H  0.8750  0.9669  0.7500
H  0.7169  0.1250  0.2500
Ca  0.5000  0.5000  0.0000
H  0.3750  0.2831  0.7500
Pd  0.7500  0.2500  0.5000
Pd  0.0000  0.0000  0.0000
H  0.0331  0.6250  0.2500
Ca  0.2500  0.7500  0.5000

Crystalline SrLiCd2 at its relaxed geometry, computed with PBE-GGA.

Computed properties:
- DOS(E_F): 0.64 states/eV per atom
- Space group: Cmcm
- E above lowest polymorph: 2 meV per atom
- Final energy: -1.624 eV per atom
- DFT formation energy: -26 kJ/mol of atoms

a = 4.5409 Å, b = 5.9621 Å, c = 8.2447 Å
α = 90.00°, β = 90.00°, γ = 112.38°
Positions (direct):
Cd  0.3472  0.6943  0.9396
Cd  0.6528  0.3057  0.0604
Li  0.7684  0.5368  0.7500
Li  0.2316  0.4632  0.2500
Sr  0.0540  0.1080  0.7500
Sr  0.9460  0.8920  0.2500
Cd  0.3472  0.6943  0.5604
Cd  0.6528  0.3057  0.4396

Crystalline TaTe5P at its relaxed geometry, computed with PBE-GGA.

Computed properties:
- DOS(E_F): 0.38 states/eV per atom
- Formation energy without anion corrections: -0.138 eV/atom
- Space group: Cmcm
- Final energy: -4.848 eV per atom

a = 7.6330 Å, b = 7.6330 Å, c = 15.5111 Å
α = 90.00°, β = 90.00°, γ = 151.50°
Positions (direct):
P  0.0000  0.0000  0.5000
Te  0.3933  0.6067  0.4152
Te  0.3933  0.6067  0.0848
Te  0.0954  0.9046  0.3480
Ta  0.4895  0.5105  0.2500
Te  0.0954  0.9046  0.1520
Te  0.6067  0.3933  0.9152
Te  0.9046  0.0954  0.8480
Te  0.8421  0.1579  0.2500
Ta  0.5105  0.4895  0.7500
Te  0.1579  0.8421  0.7500
P  0.0000  0.0000  0.0000
Te  0.9046  0.0954  0.6520
Te  0.6067  0.3933  0.5848

Crystalline Mn2WSN at its relaxed geometry, computed with PBE-GGA.

Computed properties:
- DOS(E_F): 0.98 states/eV per atom
- Formation energy without anion corrections: 0.202 eV/atom
- Space group: P4/mmm
- Final energy: -8.547 eV per atom

a = 3.8577 Å, b = 4.1379 Å, c = 3.8577 Å
α = 90.00°, β = 90.00°, γ = 90.00°
Site moments in Bohr magnetons follow the coordinates.
Positions (direct):
Mn  0.5000  0.0000  0.0000  2.30
N  0.0000  0.0000  0.0000  -0.05
Mn  0.0000  0.0000  0.5000  2.32
S  0.5000  0.5000  0.5000  0.02
W  0.0000  0.5000  0.0000  -0.50

Crystalline Er2TlCd at its relaxed geometry, computed with PBE-GGA.

Computed properties:
- DOS(E_F): 0.90 states/eV per atom
- Space group: P4/mmm
- Final energy: -3.423 eV per atom
- DFT formation energy: -31 kJ/mol of atoms

a = 3.7498 Å, b = 3.7498 Å, c = 7.4335 Å
α = 90.00°, β = 90.00°, γ = 90.00°
Positions (direct):
Cd  0.5000  0.5000  0.5000
Er  0.0000  0.0000  0.2558
Er  0.0000  0.0000  0.7442
Tl  0.5000  0.5000  0.0000

Crystalline VIBr at its relaxed geometry, computed with PBE-GGA.

Computed properties:
- Formation energy without anion corrections: -0.620 eV/atom
- Space group: P2_1/m
- E above lowest polymorph: 0 meV per atom
- Final energy: -4.734 eV per atom

a = 3.9860 Å, b = 6.8836 Å, c = 7.1630 Å
α = 91.52°, β = 90.00°, γ = 90.00°
Site moments in Bohr magnetons follow the coordinates.
Positions (direct):
V  0.7500  0.2419  0.0007  2.65
Br  0.2500  0.0889  0.1968  -0.03
I  0.7500  0.5895  0.2231  -0.05
Br  0.7500  0.9111  0.8032  -0.03
V  0.2500  0.7581  0.9993  2.65
I  0.2500  0.4105  0.7769  -0.05

Crystalline GaPdIN2 at its relaxed geometry, computed with PBE-GGA.

Computed properties:
- DOS(E_F): 1.09 states/eV per atom
- Formation energy without anion corrections: 1.396 eV/atom
- Space group: P4/mmm
- E above lowest polymorph: 172 meV per atom
- Final energy: -3.888 eV per atom

a = 3.9636 Å, b = 3.9636 Å, c = 7.6806 Å
α = 90.00°, β = 90.00°, γ = 90.00°
Positions (direct):
Ga  0.5000  0.5000  0.5000
I  0.0000  0.0000  0.5000
Pd  0.0000  0.0000  0.0000
N  0.0000  0.5000  0.0000
N  0.5000  0.0000  0.0000